Entry 1:
# PBE BaTc4Se7, optimized geometry
# Calculated volume: 21.9 Å³/atom
# Raw formation energy: -5.56 eV/f.u.
# DFT total energy: -146.7 eV per cell
data_BaTc4Se7
_cell_length_a 18.6667
_cell_length_b 5.6709
_cell_length_c 4.9744
_cell_angle_alpha 90.00
_cell_angle_beta 90.00
_cell_angle_gamma 90.00
_space_group_name_H-M_alt 'P m n 21'
_space_group_IT_number 31
_space_group_name_Hall 'P 2ac -2'
loop_
_atom_site_label
_atom_site_type_symbol
_atom_site_fract_x
_atom_site_fract_y
_atom_site_fract_z
_atom_site_occupancy
Ba1 Ba 0.0000 0.2161 0.0000 1
Tc1 Tc 0.1327 0.6412 0.5899 1
Tc2 Tc 0.2482 0.6456 0.9513 1
Se1 Se 0.0000 0.7533 0.5229 1
Se2 Se 0.1233 0.2206 0.4955 1
Se3 Se 0.1233 0.7442 0.0723 1
Se4 Se 0.2469 0.2167 0.9710 1

Entry 2:
# PBE BaTcSe2, optimized geometry
# Offset from the most stable computed form: 139 meV/atom
# Calculated volume: 26.5 Å³/atom
# Raw formation energy: -2.38 eV/f.u.
# DFT total energy: -43.3 eV per cell
data_BaTcSe2
_cell_length_a 3.8537
_cell_length_b 6.3230
_cell_length_c 8.7044
_cell_angle_alpha 90.00
_cell_angle_beta 90.00
_cell_angle_gamma 90.00
_space_group_name_H-M_alt 'I m m m'
_space_group_IT_number 71
_space_group_name_Hall '-I 2 2'
loop_
_atom_site_label
_atom_site_type_symbol
_atom_site_fract_x
_atom_site_fract_y
_atom_site_fract_z
_atom_site_occupancy
Ba1 Ba 0.0000 0.0000 0.0000 1
Tc1 Tc 0.0000 0.0000 0.5000 1
Se1 Se 0.0000 0.5000 0.1847 1

Number 1: N(E_F) 12.0 states/eV per cell, M_tot 0.00 μB per formula unit. Number 2: N(E_F) 4.9 states/eV per cell, M_tot 1.40 μB per formula unit.